No. 1
Below is Dy3SnRh2 after structural relaxation, with properties calculated at the GGA-PBE level.

DFT formation energy = -4.47 eV per formula unit
distance to the lowest polymorph of the same formula = 57 meV/atom

Cell lengths 5.1138, 7.0932, 8.5582 Å; angles 114.48, 107.38, 90.00 degrees
Closest atoms and distances in Å follow each position.
Fractional positions:
Dy: 0.8190 0.5690 0.6380  6 Rh 2.95-3.13, 2 Sn 3.20, 2 Dy 3.27
Dy: 0.8190 0.0690 0.6380  6 Rh 2.95-3.13, 2 Sn 3.20, 2 Dy 3.27
Dy: 0.1810 0.9310 0.3620  6 Rh 2.95-3.13, 2 Sn 3.20, 2 Dy 3.27
Dy: 0.1810 0.4310 0.3620  6 Rh 2.95-3.13, 2 Sn 3.20, 2 Dy 3.27
Dy: 0.5000 0.7500 0.0000  4 Rh 2.94, 4 Sn 3.11
Dy: 0.5000 0.2500 0.0000  4 Rh 2.94, 4 Sn 3.11
Sn: 0.0000 0.0000 0.0000  8 Dy 3.11-3.20, 4 Rh 3.47
Sn: 0.0000 0.5000 0.0000  8 Dy 3.11-3.20, 4 Rh 3.47
Rh: 0.6593 0.1591 0.3181  8 Dy 2.94-3.13
Rh: 0.3411 0.3409 0.6819  8 Dy 2.94-3.13
Rh: 0.6589 0.6591 0.3181  8 Dy 2.94-3.13
Rh: 0.3407 0.8409 0.6819  8 Dy 2.94-3.13

***

No. 2
Below is CaYTl2 after structural relaxation, with properties calculated at the GGA-PBE level.

DFT formation energy = 0.07 eV per formula unit

Cell lengths 5.5521, 5.5521, 5.5521 Å; angles 60.00, 60.00, 60.00 degrees
Closest atoms and distances in Å follow each position.
Fractional positions:
Y: 0.7500 0.7500 0.7500  4 Ca 3.40, 4 Tl 3.40
Tl: 0.2500 0.2500 0.2500  4 Tl 3.40, 4 Ca 3.40
Tl: 0.0000 0.0000 0.0000  4 Y 3.40, 4 Tl 3.40
Ca: 0.5000 0.5000 0.5000  4 Tl 3.40, 4 Y 3.40

***

no.,calculated volume (A^3/atom),total energy (eV per atom)
1,22.2,-6.163
2,30.3,-3.282